DFT (GGA-PBE) results for Cs2RbCdGe after structural relaxation.

* DFT formation energy: 102.6 meV/atom
* DOS(E_F): 3.70 states/eV/f.u.
* space group: P4/mmm
* V: 59.85 Å³/atom
* total magnetization: 0.00 μB per formula unit
* final energy: -1.539 eV/atom

abc: 7.5914 7.5914 5.1926
angles: 90.00 90.00 90.00
Positions (direct):
Cs1 0.0000 0.5000 0.0000
Cs2 0.5000 0.0000 0.0000
Ge1 0.0000 0.0000 0.0000
Rb1 0.5000 0.5000 0.5000
Cd1 0.0000 0.0000 0.5000

---

DFT (GGA-PBE) results for CsCd2GeRh after structural relaxation.

* DFT formation energy: -162.7 meV/atom
* DOS(E_F): 1.64 states/eV/f.u.
* space group: P4/mmm
* V: 27.97 Å³/atom
* total magnetization: 0.00 μB per formula unit
* final energy: -3.093 eV/atom

abc: 5.4208 5.4208 4.7596
angles: 90.00 90.00 90.00
Positions (direct):
Cs1 0.5000 0.5000 0.5000
Ge1 0.0000 0.0000 0.5000
Rh1 0.0000 0.0000 0.0000
Cd1 0.0000 0.5000 0.0000
Cd2 0.5000 0.0000 0.0000